Record 1
A plane-wave DFT calculation with PBE was carried out for a relaxed structure of Ca4MgTl.

Structure (POSCAR):
```
Ca4MgTl
1.0
4.938 -7.542 0.000
4.938 7.542 0.000
-2.161 0.000 5.586
Ca Mg Tl
8 2 2
Direct
0.060 0.689 0.920 Ca
0.240 0.386 0.677 Ca
0.311 0.940 0.580 Ca
0.386 0.240 0.177 Ca
0.614 0.760 0.823 Ca
0.689 0.060 0.420 Ca
0.760 0.614 0.323 Ca
0.940 0.311 0.080 Ca
0.000 0.000 0.250 Mg
0.000 0.000 0.750 Mg
0.368 0.632 0.250 Tl
0.632 0.368 0.750 Tl
```

## Properties
For the density of states at the Fermi level, the calculation gives 4.78 states/eV/f.u. The calculation puts the final energy at -12.79 eV per formula unit. The formation energy is -0.137 eV per atom. The excess energy over the best structure of this formula in the dataset is 0.0 meV per atom.

***

Record 2
A plane-wave DFT calculation with PBE was carried out for a relaxed structure of CaMgTl.

Structure (POSCAR):
```
CaMgTl
1.0
3.663 0.000 0.000
-1.832 3.172 0.000
0.000 0.000 7.731
Ca Mg Tl
1 1 1
Direct
0.000 0.000 0.000 Ca
0.667 0.333 0.358 Mg
0.333 0.667 0.662 Tl
```

## Properties
For the density of states at the Fermi level, the calculation gives 2.32 states/eV/f.u. The calculation puts the final energy at -6.17 eV per formula unit. The formation energy is -0.069 eV per atom.

***

Record 3
A plane-wave DFT calculation with PBE was carried out for a relaxed structure of CaMg3Tl3.

Structure (POSCAR):
```
CaMg3Tl3
1.0
7.917 0.000 0.000
0.000 7.917 0.000
0.000 0.000 7.917
Ca Mg Tl
2 6 6
Direct
0.000 0.000 0.000 Ca
0.500 0.500 0.500 Ca
0.000 0.250 0.500 Mg
0.000 0.750 0.500 Mg
0.250 0.500 0.000 Mg
0.500 0.000 0.250 Mg
0.500 0.000 0.750 Mg
0.750 0.500 0.000 Mg
0.000 0.500 0.250 Tl
0.000 0.500 0.750 Tl
0.250 0.000 0.500 Tl
0.500 0.250 0.000 Tl
0.500 0.750 0.000 Tl
0.750 0.000 0.500 Tl
```

## Properties
For the density of states at the Fermi level, the calculation gives 2.72 states/eV/f.u. The calculation puts the final energy at -11.91 eV per formula unit. The formation energy is 0.281 eV per atom. The excess energy over the best structure of this formula in the dataset is 404.5 meV per atom.